Entry from Alexandria via LeMat-Bulk: a geometry-optimized AgP2WO structure (GGA+U).

a = 4.864 Å, b = 4.864 Å, c = 3.819 Å
α = 90.00°, β = 90.00°, γ = 90.00°
Space group P4/mmm (No. 123)
Symmetry-distinct sites (fractional):
Ag (0.000, 0.000, 0.000)
P (0.000, 0.500, 0.500)
W (0.500, 0.500, 0.500)
O (0.500, 0.500, 0.000)

Values from the calculation:
**Energy**: -5.124 eV per atom
**N(E_F)**: 2.93 states/eV/f.u.
**Magnetic moment**: 0.00 μB/f.u.
**Distance to the lowest polymorph of the same formula**: 0 meV per atom